No. 1
Computed, not measured: CoSb2 at its PBEsol-relaxed geometry at the SCAN level of DFT.

Calculated values
As for the calculated total energy: -368.81 eV per cell. The energy relative to the elements, uncorrected is -126 meV per atom. The space group is P2_1/c (14). The calculation puts the total magnetization at 0.00 μB/cell.

The structure in POSCAR format:
```
CoSb2
1.0
-1.1447 -2.1445 5.8332
3.3314 -5.3519 -1.3138
3.2831 5.0028 2.4835
Sb Co
8 4
direct
0.6453 0.3487 0.1663 Sb
0.1413 0.1464 0.8703 Sb
0.3587 0.1464 0.3703 Sb
0.8587 0.8536 0.1297 Sb
0.3547 0.6513 0.8337 Sb
0.8547 0.3487 0.6663 Sb
0.1453 0.6513 0.3337 Sb
0.6413 0.8536 0.6297 Sb
0.4989 0.2704 0.7826 Co
0.0011 0.2704 0.2826 Co
0.5011 0.7296 0.2174 Co
0.9989 0.7296 0.7174 Co
```

No. 2
Computed, not measured: CdAg2Rh at its PBEsol-relaxed geometry at the SCAN level of DFT.

Calculated values
As for the calculated total energy: -126.76 eV per cell. Its formation energy is 0.0389 eV per atom. The space group is F-43m (216). The calculation puts the total magnetization at 0.00 μB/cell.

The structure in POSCAR format:
```
CdAg2Rh
1.0
4.5088 0.0000 0.0000
2.2544 3.9047 0.0000
2.2544 1.3016 3.6814
Ag Rh Cd
2 1 1
direct
0.7500 0.7500 0.7500 Ag
0.0000 0.0000 0.0000 Ag
0.2500 0.2500 0.2500 Rh
0.5000 0.5000 0.5000 Cd
```